# HgTe2RuN, optimized geometry, DFT PBE-GGA
# Total moment, Bohr magnetons per cell: 3.773
# ΔE_f (raw), eV/atom: 1.77
# Calculated volume, Å³/cell: 128
data_HgTe2RuN
_cell_length_a 5.6960
_cell_length_b 5.6960
_cell_length_c 3.9548
_cell_angle_alpha 90.00
_cell_angle_beta 90.00
_cell_angle_gamma 90.00
_space_group_name_H-M_alt 'P 4/m m m'
_space_group_IT_number 123
_space_group_name_Hall '-P 4 2'
loop_
_atom_site_label
_atom_site_type_symbol
_atom_site_fract_x
_atom_site_fract_y
_atom_site_fract_z
Hg1 Hg 0.0000 0.0000 0.0000
Te1 Te 0.0000 0.5000 0.0000
Ru1 Ru 0.5000 0.5000 0.5000
N1 N 0.0000 0.0000 0.5000



# CaTbGdAl, optimized geometry, DFT PBE-GGA
# Total moment, Bohr magnetons per cell: 29.034
# E, eV per atom: -6.17
# Calculated volume, Å³/cell: 447
data_CaTbGdAl
_cell_length_a 7.6475
_cell_length_b 7.6475
_cell_length_c 7.6475
_cell_angle_alpha 90.00
_cell_angle_beta 90.00
_cell_angle_gamma 90.00
_space_group_name_H-M_alt 'F -4 3 m'
_space_group_IT_number 216
_space_group_name_Hall 'F -4 2 3'
loop_
_atom_site_label
_atom_site_type_symbol
_atom_site_fract_x
_atom_site_fract_y
_atom_site_fract_z
Ca1 Ca 0.0000 0.0000 0.0000
Tb1 Tb 0.2500 0.2500 0.2500
Gd1 Gd 0.2500 0.2500 0.7500
Al1 Al 0.0000 0.0000 0.5000



# Ag2RhAu, optimized geometry, DFT PBE-GGA
# Total moment, Bohr magnetons per cell: 1.955
# E, eV per atom: -3.94
# Calculated volume, Å³/cell: 203
data_Ag2RhAu
_cell_length_a 2.8423
_cell_length_b 2.8423
_cell_length_c 28.9666
_cell_angle_alpha 90.00
_cell_angle_beta 90.00
_cell_angle_gamma 120.00
_space_group_name_H-M_alt 'R -3 m'
_space_group_IT_number 166
_space_group_name_Hall '-R 3 2"'
loop_
_atom_site_label
_atom_site_type_symbol
_atom_site_fract_x
_atom_site_fract_y
_atom_site_fract_z
Ag1 Ag 0.0000 0.0000 0.2470
Rh1 Rh 0.0000 0.0000 0.5000
Au1 Au 0.0000 0.0000 0.0000



# AcPtAu, optimized geometry, DFT PBE-GGA
# Total moment, Bohr magnetons per cell: 0.000
# E, eV per atom: -5.32
# Calculated volume, Å³/cell: 335
data_AcPtAu
_cell_length_a 6.9469
_cell_length_b 6.9469
_cell_length_c 6.9469
_cell_angle_alpha 90.00
_cell_angle_beta 90.00
_cell_angle_gamma 90.00
_space_group_name_H-M_alt 'F -4 3 m'
_space_group_IT_number 216
_space_group_name_Hall 'F -4 2 3'
loop_
_atom_site_label
_atom_site_type_symbol
_atom_site_fract_x
_atom_site_fract_y
_atom_site_fract_z
Ac1 Ac 0.0000 0.0000 0.0000
Pt1 Pt 0.2500 0.2500 0.7500
Au1 Au 0.0000 0.0000 0.5000



# ScCd6Ag12, optimized geometry, DFT PBE-GGA
# Total moment, Bohr magnetons per cell: 0.000
# E, eV per atom: -2.42
# Calculated volume, Å³/cell: 1129
data_ScCd6Ag12
_cell_length_a 10.2604
_cell_length_b 10.2604
_cell_length_c 12.3837
_cell_angle_alpha 90.00
_cell_angle_beta 90.00
_cell_angle_gamma 120.00
_space_group_name_H-M_alt 'R -3'
_space_group_IT_number 148
_space_group_name_Hall '-R 3'
loop_
_atom_site_label
_atom_site_type_symbol
_atom_site_fract_x
_atom_site_fract_y
_atom_site_fract_z
Sc1 Sc 0.0000 0.0000 0.0000
Cd1 Cd 0.0186 0.5918 0.7056
Ag1 Ag 0.0325 0.8523 0.8105
Ag2 Ag 0.0598 0.2070 0.4120



# MnAsRu3, optimized geometry, DFT PBE-GGA
# Total moment, Bohr magnetons per cell: 0.456
# E, eV per atom: -6.92
# Calculated volume, Å³/cell: 89
data_MnAsRu3
_cell_length_a 4.4587
_cell_length_b 4.4587
_cell_length_c 4.4587
_cell_angle_alpha 90.00
_cell_angle_beta 90.00
_cell_angle_gamma 90.00
_space_group_name_H-M_alt 'P m -3 m'
_space_group_IT_number 221
_space_group_name_Hall '-P 4 2 3'
loop_
_atom_site_label
_atom_site_type_symbol
_atom_site_fract_x
_atom_site_fract_y
_atom_site_fract_z
Mn1 Mn 0.0000 0.0000 0.0000
As1 As 0.5000 0.5000 0.5000
Ru1 Ru 0.0000 0.5000 0.5000



# BiBSN2, optimized geometry, DFT PBE-GGA
# Total moment, Bohr magnetons per cell: 2.452
# ΔE_f (raw), eV/atom: 2.42
# Calculated volume, Å³/cell: 102
data_BiBSN2
_cell_length_a 4.3624
_cell_length_b 4.3624
_cell_length_c 5.3831
_cell_angle_alpha 90.00
_cell_angle_beta 90.00
_cell_angle_gamma 90.00
_space_group_name_H-M_alt 'P 4/m m m'
_space_group_IT_number 123
_space_group_name_Hall '-P 4 2'
loop_
_atom_site_label
_atom_site_type_symbol
_atom_site_fract_x
_atom_site_fract_y
_atom_site_fract_z
Bi1 Bi 0.0000 0.0000 0.0000
B1 B 0.5000 0.5000 0.5000
S1 S 0.0000 0.0000 0.5000
N1 N 0.0000 0.5000 0.0000



# Sm7P5Se, optimized geometry, DFT PBE-GGA
# Total moment, Bohr magnetons per cell: 0.958
# ΔE_f (raw), eV/atom: -1.49
# Calculated volume, Å³/cell: 1337
data_Sm7P5Se
_cell_length_a 13.5489
_cell_length_b 4.0822
_cell_length_c 24.1644
_cell_angle_alpha 90.00
_cell_angle_beta 90.02
_cell_angle_gamma 90.00
_space_group_name_H-M_alt 'C 1 2/m 1'
_space_group_IT_number 12
loop_
_space_group_symop_operation_xyz
'x,y,z'
'-x,-y,-z'
'-x,y,-z'
'x,-y,z'
'x+1/2,y+1/2,z'
'-x+1/2,-y+1/2,-z'
'-x+1/2,y+1/2,-z'
'x+1/2,-y+1/2,z'
loop_
_atom_site_label
_atom_site_type_symbol
_atom_site_fract_x
_atom_site_fract_y
_atom_site_fract_z
Sm1 Sm 0.0394 0.0000 0.2500
Sm2 Sm 0.0878 0.5000 0.1034
Sm3 Sm 0.0878 0.5000 0.3966
Sm4 Sm 0.1372 0.0000 0.5353
Sm5 Sm 0.1373 0.0000 0.9648
Sm6 Sm 0.1769 0.5000 0.6741
Sm7 Sm 0.1769 0.5000 0.8260
P1 P 0.0000 0.5000 0.0000
P2 P 0.0000 0.5000 0.5000
P3 P 0.0448 0.0000 0.6449
P4 P 0.0446 0.0000 0.8552
P5 P 0.2274 0.0000 0.0739
P6 P 0.2272 0.0000 0.4261
Se1 Se 0.2019 0.5000 0.2497



# SnPdO3, optimized geometry, DFT PBE-GGA
# Total moment, Bohr magnetons per cell: 0.000
# ΔE_f (raw), eV/atom: -0.37
# Calculated volume, Å³/cell: 63
data_SnPdO3
_cell_length_a 3.9771
_cell_length_b 3.9771
_cell_length_c 3.9771
_cell_angle_alpha 90.00
_cell_angle_beta 90.00
_cell_angle_gamma 90.00
_space_group_name_H-M_alt 'P m -3 m'
_space_group_IT_number 221
_space_group_name_Hall '-P 4 2 3'
loop_
_atom_site_label
_atom_site_type_symbol
_atom_site_fract_x
_atom_site_fract_y
_atom_site_fract_z
Sn1 Sn 0.0000 0.0000 0.0000
Pd1 Pd 0.5000 0.5000 0.5000
O1 O 0.0000 0.5000 0.5000



# LaUC2, optimized geometry, DFT PBE-GGA
# Total moment, Bohr magnetons per cell: 0.000
# E, eV per atom: -8.78
# Calculated volume, Å³/cell: 207
data_LaUC2
_cell_length_a 3.6430
_cell_length_b 3.6430
_cell_length_c 18.0465
_cell_angle_alpha 90.00
_cell_angle_beta 90.00
_cell_angle_gamma 120.00
_space_group_name_H-M_alt 'R -3 m'
_space_group_IT_number 166
_space_group_name_Hall '-R 3 2"'
loop_
_atom_site_label
_atom_site_type_symbol
_atom_site_fract_x
_atom_site_fract_y
_atom_site_fract_z
La1 La 0.0000 0.0000 0.0000
U1 U 0.0000 0.0000 0.5000
C1 C 0.0000 0.0000 0.2287



# AlReW, optimized geometry, DFT PBE-GGA
# Total moment, Bohr magnetons per cell: 0.000
# E, eV per atom: -9.69
# Calculated volume, Å³/cell: 184
data_AlReW
_cell_length_a 3.0996
_cell_length_b 4.5456
_cell_length_c 13.0538
_cell_angle_alpha 90.00
_cell_angle_beta 90.00
_cell_angle_gamma 90.00
_space_group_name_H-M_alt 'F m m 2'
_space_group_IT_number 42
_space_group_name_Hall 'F 2 -2'
loop_
_atom_site_label
_atom_site_type_symbol
_atom_site_fract_x
_atom_site_fract_y
_atom_site_fract_z
Al1 Al 0.0000 0.0000 0.0000
Re1 Re 0.0000 0.0000 0.3355
W1 W 0.0000 0.0000 0.6691



# NiSnPd3, optimized geometry, DFT PBE-GGA
# Total moment, Bohr magnetons per cell: 1.076
# E, eV per atom: -4.60
# Calculated volume, Å³/cell: 97
data_NiSnPd3
_cell_length_a 4.5953
_cell_length_b 4.5953
_cell_length_c 4.5953
_cell_angle_alpha 90.00
_cell_angle_beta 90.00
_cell_angle_gamma 90.00
_space_group_name_H-M_alt 'P m -3 m'
_space_group_IT_number 221
_space_group_name_Hall '-P 4 2 3'
loop_
_atom_site_label
_atom_site_type_symbol
_atom_site_fract_x
_atom_site_fract_y
_atom_site_fract_z
Ni1 Ni 0.0000 0.0000 0.0000
Sn1 Sn 0.5000 0.5000 0.5000
Pd1 Pd 0.0000 0.0000 0.5000